Record 1
! MgAlCo | the Alexandria database | PBE | relaxed; values from VASP
! ΔH_f (0 K), eV per atom: -0.08
! Offset from the most stable computed form, meV/atom: 128
! Uncorrected energy, eV per atom: -4.2270
! Space-group type: P3m1, No. 156
! D(E_F), states/eV/f.u.: 1.608
&SYSTEM
  ibrav = 0, nat = 3, ntyp = 3
/
ATOMIC_SPECIES
Al 26.98 Al.upf
Co 58.93 Co.upf
Mg 24.30 Mg.upf
CELL_PARAMETERS angstrom
-3.7399 0.5270 -1.8133
3.0587 -1.9991 -2.0495
-0.9087 -2.5516 1.1327
ATOMIC_POSITIONS crystal
Al 0.0000 0.0000 0.1682
Co 0.3333 0.6667 0.1655
Mg 0.6667 0.3333 0.6663



Record 2
! Mg2Al2Co | the Alexandria database | PBE | relaxed; values from VASP
! ΔH_f (0 K), eV per atom: 0.05
! Uncorrected energy, eV per atom: -3.5073
! Space-group type: P4/mbm, No. 127
! D(E_F), states/eV/f.u.: 2.989
&SYSTEM
  ibrav = 0, nat = 10, ntyp = 3
/
ATOMIC_SPECIES
Mg 24.30 Mg.upf
Co 58.93 Co.upf
Al 26.98 Al.upf
CELL_PARAMETERS angstrom
6.2388 0.0000 0.0000
0.0000 6.2388 0.0000
0.0000 0.0000 4.5234
ATOMIC_POSITIONS crystal
Mg 0.1718 0.6718 0.5000
Mg 0.6718 0.8282 0.5000
Mg 0.8282 0.3282 0.5000
Mg 0.3282 0.1718 0.5000
Co 0.0000 0.0000 0.0000
Co 0.5000 0.5000 0.0000
Al 0.3471 0.8471 0.0000
Al 0.8471 0.6529 0.0000
Al 0.6529 0.1529 0.0000
Al 0.1529 0.3471 0.0000



Record 3
! MgAlCo2 | the Alexandria database | PBE | relaxed; values from VASP
! ΔH_f (0 K), eV per atom: -0.01
! Uncorrected energy, eV per atom: -4.9009
! Space-group type: I-4m2, No. 119
! D(E_F), states/eV/f.u.: 6.365
&SYSTEM
  ibrav = 0, nat = 4, ntyp = 3
/
ATOMIC_SPECIES
Al 26.98 Al.upf
Co 58.93 Co.upf
Mg 24.30 Mg.upf
CELL_PARAMETERS angstrom
-3.7567 -2.9343 0.2509
-1.2387 -2.0640 -4.1221
4.0631 0.5387 2.4468
ATOMIC_POSITIONS crystal
Al 0.7500 0.2500 0.5000
Co 0.0000 0.0000 0.0000
Co 0.2500 0.7500 0.5000
Mg 0.5000 0.5000 0.0000



Record 4
! Mg2AlCo | the Alexandria database | PBE | relaxed; values from VASP
! ΔH_f (0 K), eV per atom: 0.08
! Uncorrected energy, eV per atom: -3.4298
! Space-group type: P4/mmm, No. 123
! D(E_F), states/eV/f.u.: 2.497
&SYSTEM
  ibrav = 0, nat = 4, ntyp = 3
/
ATOMIC_SPECIES
Al 26.98 Al.upf
Co 58.93 Co.upf
Mg 24.30 Mg.upf
CELL_PARAMETERS angstrom
3.0603 0.0000 0.0000
0.0000 3.0603 0.0000
0.0000 0.0000 7.0153
ATOMIC_POSITIONS crystal
Al 0.5000 0.5000 0.2500
Co 0.5000 0.5000 0.7500
Mg 0.0000 0.0000 0.9577
Mg 0.0000 0.0000 0.5423



Record 5
! MgAl2Co2 | the Alexandria database | PBE | relaxed; values from VASP
! ΔH_f (0 K), eV per atom: -0.34
! Offset from the most stable computed form, meV/atom: 0
! Uncorrected energy, eV per atom: -4.9975
! Space-group type: P4/mbm, No. 127
! D(E_F), states/eV/f.u.: 4.069
&SYSTEM
  ibrav = 0, nat = 10, ntyp = 3
/
ATOMIC_SPECIES
Mg 24.30 Mg.upf
Co 58.93 Co.upf
Al 26.98 Al.upf
CELL_PARAMETERS angstrom
-6.8612 -0.4499 0.9362
1.0154 -1.5889 6.6783
-0.0883 2.7232 0.6613
ATOMIC_POSITIONS crystal
Mg 0.0000 0.0000 0.0000
Mg 0.5000 0.5000 0.0000
Co 0.3516 0.8516 0.0000
Co 0.8516 0.6484 0.0000
Co 0.6484 0.1484 0.0000
Co 0.1484 0.3516 0.0000
Al 0.1456 0.6456 0.5000
Al 0.6456 0.8544 0.5000
Al 0.8544 0.3544 0.5000
Al 0.3544 0.1456 0.5000



Record 6
! Mg2AlCo2 | the Alexandria database | PBE | relaxed; values from VASP
! ΔH_f (0 K), eV per atom: -0.13
! Offset from the most stable computed form, meV/atom: 0
! Uncorrected energy, eV per atom: -4.3577
! Space-group type: P4/mbm, No. 127
! D(E_F), states/eV/f.u.: 1.178
&SYSTEM
  ibrav = 0, nat = 10, ntyp = 3
/
ATOMIC_SPECIES
Mg 24.30 Mg.upf
Co 58.93 Co.upf
Al 26.98 Al.upf
CELL_PARAMETERS angstrom
6.0414 0.0000 0.0000
0.0000 6.0414 0.0000
0.0000 0.0000 4.1407
ATOMIC_POSITIONS crystal
Mg 0.1698 0.6698 0.5000
Mg 0.6698 0.8302 0.5000
Mg 0.8302 0.3302 0.5000
Mg 0.3302 0.1698 0.5000
Co 0.3695 0.8695 0.0000
Co 0.8695 0.6305 0.0000
Co 0.6305 0.1305 0.0000
Co 0.1305 0.3695 0.0000
Al 0.0000 0.0000 0.0000
Al 0.5000 0.5000 0.0000



Record 7
! MgAlCo | the Alexandria database | PBE | relaxed; values from VASP
! ΔH_f (0 K), eV per atom: -0.09
! Offset from the most stable computed form, meV/atom: 115
! Uncorrected energy, eV per atom: -4.2397
! Space-group type: R-3m, No. 166
! D(E_F), states/eV/f.u.: 2.782
&SYSTEM
  ibrav = 0, nat = 18, ntyp = 3
/
ATOMIC_SPECIES
Mg 24.30 Mg.upf
Al 26.98 Al.upf
Co 58.93 Co.upf
CELL_PARAMETERS angstrom
-3.2140 1.8424 3.5076
0.3348 -1.5712 4.8422
6.8559 9.1542 5.1838
ATOMIC_POSITIONS crystal
Mg 0.7297 0.7297 0.8110
Mg 0.2703 0.2703 0.1890
Mg 0.0386 0.0386 0.8843
Mg 0.9614 0.9614 0.1157
Mg 0.1793 0.1793 0.4621
Mg 0.8207 0.8207 0.5379
Al 0.2282 0.7210 0.3299
Al 0.7210 0.2282 0.3299
Al 0.7210 0.7210 0.3299
Al 0.7718 0.2790 0.6701
Al 0.2790 0.7718 0.6701
Al 0.2790 0.2790 0.6701
Co 0.3876 0.3876 0.8373
Co 0.6124 0.6124 0.1627
Co 0.0000 0.5000 0.0000
Co 0.5000 0.0000 0.0000
Co 0.5000 0.5000 0.0000
Co 0.5000 0.5000 0.5000



Record 8
! MgAlCo3 | the Alexandria database | PBE | relaxed; values from VASP
! ΔH_f (0 K), eV per atom: 1.27
! Offset from the most stable computed form, meV/atom: 562
! Uncorrected energy, eV per atom: -4.0635
! Space-group type: Pm-3m, No. 221
! D(E_F), states/eV/f.u.: 10.530
&SYSTEM
  ibrav = 0, nat = 5, ntyp = 3
/
ATOMIC_SPECIES
Mg 24.30 Mg.upf
Co 58.93 Co.upf
Al 26.98 Al.upf
CELL_PARAMETERS angstrom
-1.5652 1.9999 3.4479
-0.4770 -3.7716 1.9711
3.9573 0.3364 1.6013
ATOMIC_POSITIONS crystal
Mg 0.0000 0.0000 0.0000
Co 0.0000 0.5000 0.0000
Co 0.0000 0.0000 0.5000
Co 0.5000 0.0000 0.0000
Al 0.5000 0.5000 0.5000



Record 9
! MgAlCo3 | the Alexandria database | PBE | relaxed; values from VASP
! ΔH_f (0 K), eV per atom: 0.71
! Offset from the most stable computed form, meV/atom: 0
! Uncorrected energy, eV per atom: -4.6254
! Space-group type: Pm-3m, No. 221
! D(E_F), states/eV/f.u.: 8.723
&SYSTEM
  ibrav = 0, nat = 5, ntyp = 3
/
ATOMIC_SPECIES
Mg 24.30 Mg.upf
Co 58.93 Co.upf
Al 26.98 Al.upf
CELL_PARAMETERS angstrom
4.3004 0.0000 0.0000
0.0000 4.3004 0.0000
0.0000 0.0000 4.3004
ATOMIC_POSITIONS crystal
Mg 0.5000 0.5000 0.5000
Co 0.0000 0.5000 0.0000
Co 0.0000 0.0000 0.5000
Co 0.5000 0.0000 0.0000
Al 0.0000 0.0000 0.0000



Record 10
! Mg2AlCo | the Alexandria database | PBE | relaxed; values from VASP
! ΔH_f (0 K), eV per atom: 0.06
! Uncorrected energy, eV per atom: -3.4537
! Space-group type: P4/mmm, No. 123
! D(E_F), states/eV/f.u.: 3.263
&SYSTEM
  ibrav = 0, nat = 4, ntyp = 3
/
ATOMIC_SPECIES
Al 26.98 Al.upf
Co 58.93 Co.upf
Mg 24.30 Mg.upf
CELL_PARAMETERS angstrom
-3.6395 0.3394 -1.3792
1.2644 -0.9530 -3.5710
-0.6912 -4.0329 0.8315
ATOMIC_POSITIONS crystal
Al 0.5000 0.0000 0.5000
Co 0.0000 0.5000 0.5000
Mg 0.0000 0.0000 0.0000
Mg 0.5000 0.5000 0.0000



Record 11
! Mg2AlCo | the Alexandria database | PBE | relaxed; values from VASP
! ΔH_f (0 K), eV per atom: -0.05
! Uncorrected energy, eV per atom: -3.5571
! Space-group type: Imm2, No. 44
! D(E_F), states/eV/f.u.: 1.331
&SYSTEM
  ibrav = 0, nat = 4, ntyp = 3
/
ATOMIC_SPECIES
Al 26.98 Al.upf
Co 58.93 Co.upf
Mg 24.30 Mg.upf
CELL_PARAMETERS angstrom
5.3087 0.0060 0.0013
2.3999 4.7352 -0.0013
-3.3463 -3.1965 2.6013
ATOMIC_POSITIONS crystal
Al 0.4617 0.4617 0.0000
Co 0.2649 0.7649 0.5000
Mg 0.0298 0.0298 0.0000
Mg 0.7436 0.2436 0.5000



Record 12
! Mg2AlCo | the Alexandria database | PBE | relaxed; values from VASP
! ΔH_f (0 K), eV per atom: 0.14
! Uncorrected energy, eV per atom: -3.3713
! Space-group type: C2/m, No. 12
! D(E_F), states/eV/f.u.: 3.509
&SYSTEM
  ibrav = 0, nat = 4, ntyp = 3
/
ATOMIC_SPECIES
Al 26.98 Al.upf
Co 58.93 Co.upf
Mg 24.30 Mg.upf
CELL_PARAMETERS angstrom
5.0991 0.0768 -0.1176
-2.2568 4.5732 -0.1176
0.3285 0.5375 2.7504
ATOMIC_POSITIONS crystal
Al 0.5000 0.0000 0.5000
Co 0.0000 0.5000 0.5000
Mg 0.0000 0.0000 0.0000
Mg 0.5000 0.5000 0.0000



What did the ninth record say?
! MgAlCo3 | the Alexandria database | PBE | relaxed; values from VASP
! ΔH_f (0 K), eV per atom: 0.71
! Offset from the most stable computed form, meV/atom: 0
! Uncorrected energy, eV per atom: -4.6254
! Space-group type: Pm-3m, No. 221
! D(E_F), states/eV/f.u.: 8.723
&SYSTEM
  ibrav = 0, nat = 5, ntyp = 3
/
ATOMIC_SPECIES
Mg 24.30 Mg.upf
Co 58.93 Co.upf
Al 26.98 Al.upf
CELL_PARAMETERS angstrom
4.3004 0.0000 0.0000
0.0000 4.3004 0.0000
0.0000 0.0000 4.3004
ATOMIC_POSITIONS crystal
Mg 0.5000 0.5000 0.5000
Co 0.0000 0.5000 0.0000
Co 0.0000 0.0000 0.5000
Co 0.5000 0.0000 0.0000
Al 0.0000 0.0000 0.0000



Q: What is the formula in the first record?
A: MgAlCo



Q: Which of these has the highest uncorrected energy?
A: number 12